Entry 1:
PmBi2RuO8 | PBE | optimized geometry

Structure (CIF):
```
data_PmBi2RuO8
_cell_length_a 5.165
_cell_length_b 6.841
_cell_length_c 5.195
_cell_angle_alpha 90.00
_cell_angle_beta 91.40
_cell_angle_gamma 90.00
_symmetry_space_group_name_H-M 'P 1 2/m 1'
_symmetry_Int_Tables_number 10
loop_
_symmetry_equiv_pos_as_xyz
'x,y,z'
'-x,-y,-z'
'-x,y,-z'
'x,-y,z'
loop_
_atom_site_label
_atom_site_type_symbol
_atom_site_fract_x
_atom_site_fract_y
_atom_site_fract_z
Pm1 Pm 0.000 0.000 0.000
Bi1 Bi 0.500 0.254 0.500
Ru1 Ru 0.000 0.500 0.000
O1 O 0.175 0.284 0.193
O2 O 0.262 0.500 0.765
O3 O 0.325 0.000 0.691
```

Output
Spin magnetization, Bohr magnetons per cell: 0.0
Total DFT energy (no corrections), eV per cell: -78.7

---

Entry 2:
Pm2BiRuO8 | PBE | optimized geometry

Structure (CIF):
```
data_Pm2BiRuO8
_cell_length_a 5.142
_cell_length_b 6.819
_cell_length_c 5.143
_cell_angle_alpha 90.00
_cell_angle_beta 91.25
_cell_angle_gamma 90.00
_symmetry_space_group_name_H-M 'P 1 2/m 1'
_symmetry_Int_Tables_number 10
loop_
_symmetry_equiv_pos_as_xyz
'x,y,z'
'-x,-y,-z'
'-x,y,-z'
'x,-y,z'
loop_
_atom_site_label
_atom_site_type_symbol
_atom_site_fract_x
_atom_site_fract_y
_atom_site_fract_z
Pm1 Pm 0.000 0.245 0.000
Bi1 Bi 0.500 0.500 0.500
Ru1 Ru 0.500 0.000 0.500
O1 O 0.200 0.500 0.198
O2 O 0.238 0.000 0.236
O3 O 0.322 0.223 0.676
```

Output
Spin magnetization, Bohr magnetons per cell: 1.0
Total DFT energy (no corrections), eV per cell: -85.0

---

Entry 3:
PmBi2SbO8 | PBE | optimized geometry

Structure (CIF):
```
data_PmBi2SbO8
_cell_length_a 7.140
_cell_length_b 7.241
_cell_length_c 7.032
_cell_angle_alpha 90.00
_cell_angle_beta 90.00
_cell_angle_gamma 90.00
_symmetry_space_group_name_H-M 'C m m m'
_symmetry_Int_Tables_number 65
_symmetry_space_group_name_Hall '-C 2 2'
loop_
_atom_site_label
_atom_site_type_symbol
_atom_site_fract_x
_atom_site_fract_y
_atom_site_fract_z
Pm1 Pm 0.000 0.000 0.000
Bi1 Bi 0.000 0.500 0.257
Sb1 Sb 0.000 0.000 0.500
O1 O 0.000 0.285 0.500
O2 O 0.000 0.320 0.000
O3 O 0.184 0.000 0.282
```

Output
Spin magnetization, Bohr magnetons per cell: 0.0
Total DFT energy (no corrections), eV per cell: -151.1

---

Entry 4:
PmBi2SbO6 | PBE | optimized geometry

Structure (CIF):
```
data_PmBi2SbO6
_cell_length_a 6.2380
_cell_length_b 6.2380
_cell_length_c 14.9573
_cell_angle_alpha 90.00
_cell_angle_beta 90.00
_cell_angle_gamma 120.00
_symmetry_space_group_name_H-M 'R 3'
_symmetry_Int_Tables_number 146
_symmetry_space_group_name_Hall 'R 3'
loop_
_atom_site_label
_atom_site_type_symbol
_atom_site_fract_x
_atom_site_fract_y
_atom_site_fract_z
Pm1 Pm 0.0000 0.0000 0.0000
Bi1 Bi 0.0000 0.0000 0.2187
Bi2 Bi 0.0000 0.0000 0.7328
Sb1 Sb 0.0000 0.0000 0.5178
O1 O 0.0407 0.7630 0.6071
O2 O 0.0871 0.3890 0.7852
```

Output
Spin magnetization, Bohr magnetons per cell: 0.0
Total DFT energy (no corrections), eV per cell: -191.0

---

- Number 4 is which compound?
  PmBi2SbO6